No. 1
Entry from the Open Quantum Materials Database: a relaxed Dy2Er3Tm2Te2Pd2 crystal (GGA-PBE).

Unit cell a=3.9134 b=15.6351 c=9.5605 alpha=90.00 beta=90.00 gamma=90.00
Last column: nearest neighbours and their distance in Å.
Space group Imm2 (No. 44)
Asymmetric unit:
Dy 0.0000 0.1437 0.0000 x4  2 Pd 2.92, 2 Te 3.14
Er 0.0000 0.3708 0.8486 x4  2 Pd 2.86, 3 Te 3.10-3.16
Er 0.0000 0.5000 0.2642 x2  3 Te 3.19-3.24
Tm 0.0000 0.1824 0.6399 x4  2 Pd 2.83, 1 Te 3.15
Te 0.0000 0.0000 0.5003 x2  2 Tm 3.15, 6 Er 3.16-3.19
Te 0.0000 0.5000 0.6030 x2  3 Er 3.10-3.24, 4 Dy 3.14
Pd 0.0000 0.2622 0.3337 x4  2 Tm 2.83, 2 Er 2.86, 2 Dy 2.92

Calculated values
- Final energy: -5.258 eV/atom
- Magnetization: 0.01 μB per formula unit

No. 2
Entry from the Open Quantum Materials Database: a relaxed BeReSbPb crystal (GGA-PBE).

Unit cell a=6.7795 b=6.7795 c=6.7795 alpha=90.00 beta=90.00 gamma=90.00
Last column: nearest neighbours and their distance in Å.
Space group F-43m (No. 216)
Asymmetric unit:
Be 0.0000 0.0000 0.0000 x4  4 Pb 2.94, 4 Re 2.94
Re 0.2500 0.2500 0.2500 x4  4 Sb 2.94, 4 Be 2.94
Sb 0.0000 0.0000 0.5000 x4  4 Re 2.94, 4 Pb 2.94
Pb 0.2500 0.2500 0.7500 x4  4 Sb 2.94, 4 Be 2.94

Calculated values
- Final energy: -4.850 eV/atom
- Magnetization: 1.04 μB per formula unit

No. 3
Entry from the Open Quantum Materials Database: a relaxed KBeFe2 crystal (GGA-PBE).

Unit cell a=3.5266 b=3.5266 c=6.7200 alpha=90.00 beta=90.00 gamma=120.00
Last column: nearest neighbours and their distance in Å.
Space group P3m1 (No. 156)
Asymmetric unit:
K 0.0000 0.0000 0.0000 x1  3 Be 3.12, 3 Fe 3.17
Be 0.3333 0.6667 0.3509 x1  1 Fe 1.93
Fe 0.3333 0.6667 0.6386 x1  1 Be 1.93, 3 Fe 2.14
Fe 0.6667 0.3333 0.5396 x1  3 Fe 2.14, 3 Be 2.40

Calculated values
- Final energy: -4.386 eV/atom
- Magnetization: 0.64 μB per formula unit